(1)
Entry from Alexandria: a relaxed TaTiTl2S crystal (PBE-GGA).

Results
raw formation energy = 0.935 eV/atom

abc: 5.458 4.438 5.458
angles: 90.00 90.00 90.00
Site moments in Bohr magnetons follow the coordinates.
Fractional coordinates of all 5 atoms:
Tl 0.000 0.000 0.500  0.01
Tl 0.500 0.000 0.000  0.01
Ti 0.000 0.000 0.000  -0.15
S 0.000 0.500 0.000  0.06
Ta 0.500 0.500 0.500  1.86

***

(2)
Entry from Alexandria: a relaxed TeWAu2 crystal (PBE-GGA).

Results
raw formation energy = 0.689 eV/atom

abc: 5.272 3.202 4.634
angles: 89.11 90.00 90.00
Fractional coordinates of all 4 atoms:
Au 0.000 0.995 0.991
Au 0.000 0.505 0.509
Te 0.500 0.250 0.250
W 0.500 0.750 0.750

***

(3)
Entry from Alexandria: a relaxed YEr3Pd2 crystal (PBE-GGA).

Results
polymorph energy (0 for the lowest one) = 0.61 eV/f.u.

abc: 6.881 7.080 8.399
angles: 114.93 114.18 90.00
Fractional coordinates of all 12 atoms:
Y 0.000 0.500 0.000
Y 0.000 0.000 0.000
Er 0.500 0.250 0.000
Er 0.500 0.750 0.000
Er 0.766 0.016 0.532
Er 0.234 0.484 0.468
Er 0.234 0.984 0.468
Er 0.766 0.516 0.532
Pd 0.565 0.359 0.717
Pd 0.848 0.141 0.283
Pd 0.152 0.859 0.717
Pd 0.435 0.641 0.283

***

Fermi-level density of states for the records above, in order: 1.13 0.78 1.03 states/eV per atom
Total DFT energy (no corrections) for the records above, in order: -4.7864 -4.9739 -5.6045 eV per atom